No. 1
A relaxed structure of Pm8AlSi2. Source: Alexandria via LeMat-Bulk, functional PBE.

Its raw total energy is -5.0194 eV per atom. The formation energy (no corrections) comes out at -0.238 eV/atom.

The structure belongs to space group C2/m (No. 12); the cell edges are 8.751, 13.771 and 5.650 Å and the angles 90.00°, 108.24° and 90.00°. The inequivalent atoms are Pm at (0.000, 0.239, 0.000), Pm at (0.099, 0.500, 0.800), Pm at (0.195, 0.121, 0.574), Al at (0.000, 0.000, 0.000) and Si at (0.000, 0.308, 0.500).



No. 2
A relaxed structure of Pm3AlSi. Source: Alexandria via LeMat-Bulk, functional PBE.

Its raw total energy is -5.0621 eV per atom. The formation energy (no corrections) comes out at -0.379 eV/atom.

The structure belongs to space group C2/m (No. 12); the cell edges are 15.112, 4.191 and 8.681 Å and the angles 90.00°, 92.34° and 90.00°. The inequivalent atoms are Pm at (0.048, 0.000, 0.170), Pm at (0.090, 0.500, 0.593), Pm at (0.237, 0.000, 0.823), Al at (0.206, 0.000, 0.436) and Si at (0.107, 0.500, 0.936).



No. 3
A relaxed structure of Pm12AlSi6. Source: Alexandria via LeMat-Bulk, functional PBE.

Its raw total energy is -5.4165 eV per atom. The formation energy (no corrections) comes out at -0.507 eV/atom.

The structure belongs to space group Im-3 (No. 204); the cell edges are 10.192, 10.192 and 10.192 Å and the angles 90.00°, 90.00° and 90.00°. The inequivalent atoms are Pm at (0.000, 0.188, 0.296), Al at (0.000, 0.000, 0.000) and Si at (0.000, 0.385, 0.500).



No. 4
A relaxed structure of Pm4Al5Si2. Source: Alexandria via LeMat-Bulk, functional PBE.

Its raw total energy is -4.9247 eV per atom. The formation energy (no corrections) comes out at -0.510 eV/atom.

The structure belongs to space group P2/m (No. 10); the cell edges are 6.938, 4.506 and 8.122 Å and the angles 90.00°, 92.60° and 90.00°. The inequivalent atoms are Pm at (0.216, 0.000, 0.364), Pm at (0.241, 0.000, 0.902), Al at (0.137, 0.500, 0.627), Al at (0.448, 0.500, 0.162), Al at (0.500, 0.500, 0.500) and Si at (0.079, 0.500, 0.131).



No. 5
A relaxed structure of Pm3Al2Si4. Source: Alexandria via LeMat-Bulk, functional PBE.

Its raw total energy is -5.4114 eV per atom. The formation energy (no corrections) comes out at -0.586 eV/atom.

The structure belongs to space group C2/m (No. 12); the cell edges are 11.117, 4.164 and 8.631 Å and the angles 90.00°, 111.03° and 90.00°. The inequivalent atoms are Pm at (0.000, 0.000, 0.000), Pm at (0.119, 0.500, 0.693), Al at (0.176, 0.500, 0.324), Si at (0.097, 0.000, 0.409) and Si at (0.223, 0.500, 0.055).



No. 6
A relaxed structure of Pm3Al2Si4. Source: Alexandria via LeMat-Bulk, functional PBE.

Its raw total energy is -5.4380 eV per atom. The formation energy (no corrections) comes out at -0.613 eV/atom.

The structure belongs to space group C2/m (No. 12); the cell edges are 10.966, 4.216 and 8.290 Å and the angles 90.00°, 101.30° and 90.00°. The inequivalent atoms are Pm at (0.000, 0.000, 0.000), Pm at (0.165, 0.500, 0.671), Al at (0.112, 0.500, 0.276), Si at (0.058, 0.000, 0.391) and Si at (0.221, 0.500, 0.049).



No. 7
A relaxed structure of Pm4Al3Si5. Source: Alexandria via LeMat-Bulk, functional PBE.

Its raw total energy is -5.1094 eV per atom. The formation energy (no corrections) comes out at -0.331 eV/atom.

The structure belongs to space group C2/m (No. 12); the cell edges are 11.322, 4.553 and 11.584 Å and the angles 90.00°, 117.73° and 90.00°. The inequivalent atoms are Pm at (0.136, 0.000, 0.493), Pm at (0.142, 0.000, 0.838), Al at (0.000, 0.500, 0.000), Al at (0.179, 0.000, 0.241), Si at (0.000, 0.000, 0.000), Si at (0.071, 0.500, 0.629) and Si at (0.083, 0.500, 0.277).



No. 8
A relaxed structure of Pm4Al3Si. Source: Alexandria via LeMat-Bulk, functional PBE.

Its raw total energy is -4.9402 eV per atom. The formation energy (no corrections) comes out at -0.484 eV/atom.

The structure belongs to space group Pmm2 (No. 25); the cell edges are 4.116, 4.502 and 11.377 Å and the angles 90.00°, 90.00° and 90.00°. The inequivalent atoms are Pm at (0.000, 0.000, 0.000), Pm at (0.000, 0.500, 0.490), Pm at (0.500, 0.000, 0.709), Pm at (0.500, 0.500, 0.213), Al at (0.000, 0.500, 0.782), Al at (0.500, 0.000, 0.417), Al at (0.500, 0.500, 0.927) and Si at (0.000, 0.000, 0.280).



No. 9
A relaxed structure of Pm5Al3Si3. Source: Alexandria via LeMat-Bulk, functional PBE.

Its raw total energy is -4.8254 eV per atom. The formation energy (no corrections) comes out at -0.166 eV/atom.

The structure belongs to space group P-62m (No. 189); the cell edges are 9.3192, 9.3192 and 4.1506 Å and the angles 90.00°, 90.00° and 120.00°. The inequivalent atoms are Pm at (0.0000, 0.2652, 0.0000), Pm at (0.3333, 0.6667, 0.0000), Al at (0.0000, 0.5155, 0.5000) and Si at (0.0000, 0.6524, 0.0000).



No. 10
A relaxed structure of Pm3Al4Si2. Source: Alexandria via LeMat-Bulk, functional PBE.

Its raw total energy is -5.0427 eV per atom. The formation energy (no corrections) comes out at -0.591 eV/atom.

The structure belongs to space group C2/m (No. 12); the cell edges are 11.177, 4.266 and 8.513 Å and the angles 90.00°, 102.16° and 90.00°. The inequivalent atoms are Pm at (0.000, 0.000, 0.000), Pm at (0.168, 0.500, 0.663), Al at (0.051, 0.000, 0.382), Al at (0.226, 0.500, 0.063) and Si at (0.111, 0.500, 0.278).



No. 11
A relaxed structure of Pm4AlSi. Source: Alexandria via LeMat-Bulk, functional PBE.

Its raw total energy is -4.9175 eV per atom. The formation energy (no corrections) comes out at -0.223 eV/atom.

The structure belongs to space group P4/mmm (No. 123); the cell edges are 5.080, 5.080 and 7.193 Å and the angles 90.00°, 90.00° and 90.00°. The inequivalent atoms are Pm at (0.000, 0.500, 0.245), Al at (0.000, 0.000, 0.500) and Si at (0.500, 0.500, 0.000).



No. 12
A relaxed structure of Pm3AlSi2. Source: Alexandria via LeMat-Bulk, functional PBE.

Its raw total energy is -5.2388 eV per atom. The formation energy (no corrections) comes out at -0.432 eV/atom.

The structure belongs to space group R-3c (No. 167, hexagonal axes); the cell edges are 7.9201, 7.9201 and 18.0829 Å and the angles 90.00°, 90.00° and 120.00°. The inequivalent atoms are Pm at (0.0000, 0.2938, 0.2500), Al at (0.0000, 0.0000, 0.0000) and Si at (0.0000, 0.0000, 0.1436).



No. 13
A relaxed structure of Pm3Al3Si. Source: Alexandria via LeMat-Bulk, functional PBE.

Its raw total energy is -4.9288 eV per atom. The formation energy (no corrections) comes out at -0.514 eV/atom.

The structure belongs to space group Imm2 (No. 44); the cell edges are 4.231, 4.334 and 18.939 Å and the angles 90.00°, 90.00° and 90.00°. The inequivalent atoms are Pm at (0.000, 0.000, 0.000), Pm at (0.000, 0.000, 0.369), Pm at (0.000, 0.500, 0.679), Al at (0.000, 0.000, 0.544), Al at (0.000, 0.000, 0.823), Al at (0.000, 0.500, 0.247) and Si at (0.000, 0.500, 0.117).



No. 14
A relaxed structure of Pm3AlSi2. Source: Alexandria via LeMat-Bulk, functional PBE.

Its raw total energy is -5.4348 eV per atom. The formation energy (no corrections) comes out at -0.628 eV/atom.

The structure belongs to space group Pnma (No. 62); the cell edges are 11.837, 4.215 and 11.951 Å and the angles 90.00°, 90.00° and 90.00°. The inequivalent atoms are Pm at (0.060, 0.250, 0.118), Pm at (0.124, 0.750, 0.562), Pm at (0.196, 0.250, 0.798), Al at (0.134, 0.250, 0.368), Si at (0.029, 0.750, 0.316) and Si at (0.189, 0.750, 0.989).



No. 15
A relaxed structure of Pm2AlSi. Source: Alexandria via LeMat-Bulk, functional PBE.

Its raw total energy is -5.2820 eV per atom. The formation energy (no corrections) comes out at -0.615 eV/atom.

The structure belongs to space group P2_1/m (No. 11); the cell edges are 6.030, 4.058 and 8.732 Å and the angles 90.00°, 108.15° and 90.00°. The inequivalent atoms are Pm at (0.205, 0.250, 0.426), Pm at (0.280, 0.750, 0.068), Al at (0.356, 0.750, 0.717) and Si at (0.146, 0.250, 0.788).



No. 16
A relaxed structure of Pm2SmAlSi2. Source: Alexandria via LeMat-Bulk, functional PBE.

Its raw total energy is -4.7006 eV per atom. The formation energy (no corrections) comes out at 0.101 eV/atom.

The structure belongs to space group I4/mmm (No. 139); the cell edges are 4.705, 4.705 and 16.184 Å and the angles 90.00°, 90.00° and 90.00°. The inequivalent atoms are Pm at (0.000, 0.500, 0.250), Sm at (0.000, 0.000, 0.000), Al at (0.000, 0.000, 0.500) and Si at (0.000, 0.000, 0.358).



No. 17
A relaxed structure of TbPmAlSi. Source: Alexandria via LeMat-Bulk, functional PBE.

Its raw total energy is -4.9933 eV per atom. The formation energy (no corrections) comes out at -0.357 eV/atom.

The structure belongs to space group F-43m (No. 216); the cell edges are 7.241, 7.241 and 7.241 Å and the angles 90.00°, 90.00° and 90.00°. The inequivalent atoms are Tb at (0.000, 0.000, 0.000), Pm at (0.000, 0.000, 0.500), Al at (0.250, 0.250, 0.750) and Si at (0.250, 0.250, 0.250).



No. 18
A relaxed structure of TbPmAlSi. Source: Alexandria via LeMat-Bulk, functional PBE.

Its raw total energy is -5.2672 eV per atom. The formation energy (no corrections) comes out at -0.631 eV/atom.

The structure belongs to space group Amm2 (No. 38); the cell edges are 4.031, 4.399 and 11.067 Å and the angles 90.00°, 90.00° and 90.00°. The inequivalent atoms are Tb at (0.000, 0.000, 0.000), Pm at (0.500, 0.000, 0.283), Al at (0.000, 0.000, 0.708) and Si at (0.500, 0.000, 0.566).



No. 19
A relaxed structure of PmTmAlSi. Source: Alexandria via LeMat-Bulk, functional PBE.

Its raw total energy is -5.2165 eV per atom. The formation energy (no corrections) comes out at -0.620 eV/atom.

The structure belongs to space group Amm2 (No. 38); the cell edges are 4.005, 4.361 and 10.938 Å and the angles 90.00°, 90.00° and 90.00°. The inequivalent atoms are Pm at (0.000, 0.000, 0.000), Tm at (0.500, 0.000, 0.283), Al at (0.500, 0.000, 0.575) and Si at (0.000, 0.000, 0.720).



No. 20
A relaxed structure of PmTmAlSi. Source: Alexandria via LeMat-Bulk, functional PBE.

Its raw total energy is -4.9441 eV per atom. The formation energy (no corrections) comes out at -0.347 eV/atom.

The structure belongs to space group F-43m (No. 216); the cell edges are 7.173, 7.173 and 7.173 Å and the angles 90.00°, 90.00° and 90.00°. The inequivalent atoms are Pm at (0.000, 0.000, 0.000), Tm at (0.000, 0.000, 0.500), Al at (0.250, 0.250, 0.250) and Si at (0.250, 0.250, 0.750).